1.
Below is a relaxed structure of TaP2Se, with properties calculated at the PBE level.

Lattice parameters (Å, degrees): 3.2277 4.4210 10.0775 90.00 90.00 90.00
With the nearest neighbours (Å) after each atom.
Space group Immm (No. 71)
Unique sites:
Ta1 0.0000 0.0000 0.0000 (multiplicity 2)  4 P 2.59, 4 Se 2.74
P1 0.0000 0.5000 0.2995 (multiplicity 4)  2 Ta 2.59
Se1 0.0000 0.0000 0.5000 (multiplicity 2)  4 Ta 2.74, 4 P 2.99

Results
For the size of the total moment, the calculation gives 0.000 μB per atom. Its uncorrected formation energy is 0.256 eV/atom. Its crystal system is orthorhombic. As for the calculated total energy: -6.284 eV per atom.


2.
Below is a relaxed structure of TaP2Se, with properties calculated at the PBE level.

Lattice parameters (Å, degrees): 6.3508 6.3508 6.3508 90.00 90.00 90.00
With the nearest neighbours (Å) after each atom.
Space group F-43m (No. 216)
Unique sites:
Ta1 0.0000 0.0000 0.0000 (multiplicity 4)  4 Se 2.75, 4 P 2.75
P1 0.0000 0.0000 0.5000 (multiplicity 4)  4 Se 2.75, 4 P 2.75
P2 0.2500 0.2500 0.2500 (multiplicity 4)  4 Ta 2.75, 4 P 2.75
Se1 0.2500 0.2500 0.7500 (multiplicity 4)  4 Ta 2.75, 4 P 2.75

Results
For the size of the total moment, the calculation gives 0.000 μB per atom. Its uncorrected formation energy is 0.319 eV/atom. Its crystal system is cubic. As for the calculated total energy: -6.220 eV per atom.


3.
Below is a relaxed structure of TaP2Se, with properties calculated at the PBE level.

Lattice parameters (Å, degrees): 5.6397 7.1022 3.1891 90.00 90.00 90.00
With the nearest neighbours (Å) after each atom.
Space group Cmmm (No. 65)
Unique sites:
Ta1 0.0000 0.0000 0.0000 (multiplicity 2)  8 P 2.77, 2 Se 2.82
P1 0.2500 0.2500 0.5000 (multiplicity 4)  4 Ta 2.77, 4 Se 2.77, 2 P 2.82
Se1 0.0000 0.5000 0.0000 (multiplicity 2)  8 P 2.77, 2 Ta 2.82

Results
For the size of the total moment, the calculation gives 0.000 μB per atom. Its uncorrected formation energy is 0.355 eV/atom. Its crystal system is orthorhombic. As for the calculated total energy: -6.185 eV per atom.


4.
Below is a relaxed structure of TaP2Se, with properties calculated at the PBE level.

Lattice parameters (Å, degrees): 3.2953 3.2953 6.1051 90.00 90.00 90.00
With the nearest neighbours (Å) after each atom.
Space group P4/mmm (No. 123)
Unique sites:
Ta1 0.0000 0.0000 0.0000 (multiplicity 1)  8 P 2.63
P1 0.5000 0.5000 0.2013 (multiplicity 2)  1 P 2.46, 4 Ta 2.63
Se1 0.0000 0.0000 0.5000 (multiplicity 1)  8 P 2.96, 2 Ta 3.05, 4 Se 3.30

Results
For the size of the total moment, the calculation gives 0.000 μB per atom. Its uncorrected formation energy is -0.130 eV/atom. Its crystal system is tetragonal. As for the calculated total energy: -6.669 eV per atom.


5.
Below is a relaxed structure of Ta2PSe, with properties calculated at the PBE level.

Lattice parameters (Å, degrees): 3.3582 3.3582 5.9984 90.00 90.00 90.00
With the nearest neighbours (Å) after each atom.
Space group P4mm (No. 99)
Unique sites:
Ta1 0.0000 0.0000 0.0000 (multiplicity 1)  4 Se 2.67, 1 P 2.75
Ta2 0.5000 0.5000 0.3192 (multiplicity 1)  4 P 2.52
P1 0.0000 0.0000 0.4582 (multiplicity 1)  5 Ta 2.52-2.75
Se1 0.5000 0.5000 0.7964 (multiplicity 1)  5 Ta 2.67-2.86

Results
For the size of the total moment, the calculation gives 0.000 μB per atom. Its uncorrected formation energy is -0.535 eV/atom. Its crystal system is tetragonal. The calculation puts the polymorph energy (0 for the lowest one) at 0.0000 eV per atom. As for the calculated total energy: -8.685 eV per atom.


6.
Below is a relaxed structure of TaP2Se, with properties calculated at the PBE level.

Lattice parameters (Å, degrees): 3.1891 6.2779 9.4510 90.00 90.00 90.00
With the nearest neighbours (Å) after each atom.
Space group Cmm2 (No. 35)
Unique sites:
Ta1 0.0000 0.0000 0.0000 (multiplicity 2)  2 Se 2.49, 2 P 2.57
P1 0.0000 0.0000 0.6367 (multiplicity 2)  2 P 2.13
P2 0.0000 0.5000 0.7863 (multiplicity 2)  2 P 2.13
Se1 0.0000 0.5000 0.2019 (multiplicity 2)  2 Ta 2.49

Results
For the size of the total moment, the calculation gives 0.000 μB per atom. Its uncorrected formation energy is 0.221 eV/atom. Its crystal system is orthorhombic. As for the calculated total energy: -6.318 eV per atom.


7.
Below is a relaxed structure of TaPSe, with properties calculated at the PBE level.

Lattice parameters (Å, degrees): 19.7764 3.3963 3.3965 90.00 99.83 90.00
With the nearest neighbours (Å) after each atom.
Space group Cm (No. 8)
Unique sites:
Ta1 0.0000 0.0000 0.0000 (multiplicity 2)  4 P 2.54, 2 Se 2.61-2.62
Ta2 0.2500 0.0000 0.7514 (multiplicity 2)  4 P 2.54, 2 Se 2.61
P1 0.2082 0.5000 0.2096 (multiplicity 2)  4 Ta 2.54
P2 0.4581 0.0000 0.4582 (multiplicity 2)  4 Ta 2.54
Se1 0.1020 0.0000 0.6021 (multiplicity 2)  3 Ta 2.61-2.88
Se2 0.3521 0.5000 0.8514 (multiplicity 2)  3 Ta 2.61-2.88

Results
For the size of the total moment, the calculation gives 0.000 μB per atom. Its uncorrected formation energy is -0.343 eV/atom. Its crystal system is monoclinic. As for the calculated total energy: -7.259 eV per atom.


8.
Below is a relaxed structure of TaPSe, with properties calculated at the PBE level.

Lattice parameters (Å, degrees): 6.2218 6.2218 6.2218 90.00 90.00 90.00
With the nearest neighbours (Å) after each atom.
Space group F-43m (No. 216)
Unique sites:
Ta1 0.0000 0.0000 0.0000 (multiplicity 4)  4 Se 2.69, 4 P 2.69
P1 0.2500 0.2500 0.2500 (multiplicity 4)  4 Ta 2.69
Se1 0.2500 0.2500 0.7500 (multiplicity 4)  4 Ta 2.69

Results
For the size of the total moment, the calculation gives 0.162 μB per atom. Its uncorrected formation energy is -0.033 eV/atom. Its crystal system is cubic. As for the calculated total energy: -6.949 eV per atom.


9.
Below is a relaxed structure of Ta2P3Se8, with properties calculated at the PBE level.

Lattice parameters (Å, degrees): 10.9023 19.0357 3.3652 90.00 90.00 90.00
With the nearest neighbours (Å) after each atom.
Space group Pbam (No. 55)
Unique sites:
Ta1 0.2073 0.1004 0.0000 (multiplicity 4)  6 Se 2.61-2.68, 2 P 2.73
P1 0.0000 0.0000 0.5000 (multiplicity 2)  4 Se 2.52-2.53
P2 0.1434 0.6739 0.5000 (multiplicity 4)  4 Se 2.44, 2 Ta 2.73
Se1 0.0319 0.1312 0.5000 (multiplicity 4)  1 P 2.52, 2 Ta 2.61
Se2 0.0466 0.5994 0.0000 (multiplicity 4)  2 P 2.44, 1 Ta 2.68
Se3 0.2318 0.9962 0.5000 (multiplicity 4)  1 P 2.53, 2 Ta 2.62
Se4 0.2430 0.2399 0.0000 (multiplicity 4)  2 P 2.44, 1 Ta 2.68

Results
For the size of the total moment, the calculation gives 0.000 μB per atom. Its uncorrected formation energy is -0.349 eV/atom. Its crystal system is orthorhombic. As for the calculated total energy: -5.565 eV per atom.


10.
Below is a relaxed structure of Ta2PSe, with properties calculated at the PBE level.

Lattice parameters (Å, degrees): 6.3374 6.3374 6.3374 90.00 90.00 90.00
With the nearest neighbours (Å) after each atom.
Space group Fm-3m (No. 225)
Unique sites:
Ta1 0.2500 0.2500 0.2500 (multiplicity 8)  4 Se 2.74, 4 P 2.74
P1 0.0000 0.0000 0.0000 (multiplicity 4)  8 Ta 2.74
Se1 0.0000 0.0000 0.5000 (multiplicity 4)  8 Ta 2.74

Results
For the size of the total moment, the calculation gives 0.000 μB per atom. Its uncorrected formation energy is -0.332 eV/atom. Its crystal system is cubic. The calculation puts the polymorph energy (0 for the lowest one) at 0.2028 eV per atom. As for the calculated total energy: -8.482 eV per atom.


11.
Below is a relaxed structure of TaPSe, with properties calculated at the PBE level.

Lattice parameters (Å, degrees): 3.3313 3.3313 9.1275 90.00 90.00 90.00
With the nearest neighbours (Å) after each atom.
Space group I4mm (No. 107)
Unique sites:
Ta1 0.0000 0.0000 0.0000 (multiplicity 2)  4 P 2.62, 4 Se 2.81
P1 0.0000 0.0000 0.3735 (multiplicity 2)  4 Ta 2.62, 1 Se 2.69
Se1 0.0000 0.0000 0.6684 (multiplicity 2)  5 P 2.69-3.01, 4 Ta 2.81

Results
For the size of the total moment, the calculation gives 0.000 μB per atom. Its uncorrected formation energy is -0.287 eV/atom. Its crystal system is tetragonal. As for the calculated total energy: -7.202 eV per atom.


12.
Below is a relaxed structure of TaP2Se, with properties calculated at the PBE level.

Lattice parameters (Å, degrees): 5.8550 5.8550 11.0306 90.00 90.00 90.00
With the nearest neighbours (Å) after each atom.
Space group I-42d (No. 122)
Unique sites:
Ta1 0.0000 0.0000 0.0000 (multiplicity 4)  4 P 2.39
P1 0.2214 0.2500 0.1250 (multiplicity 8)  2 Ta 2.39, 2 Se 2.59
Se1 0.0000 0.0000 0.5000 (multiplicity 4)  4 P 2.59

Results
For the size of the total moment, the calculation gives 0.000 μB per atom. Its uncorrected formation energy is 0.334 eV/atom. Its crystal system is tetragonal. As for the calculated total energy: -6.205 eV per atom.


13.
Below is a relaxed structure of TaZnPSe2, with properties calculated at the PBE level.

Lattice parameters (Å, degrees): 4.8628 4.8628 4.7484 90.00 90.00 90.00
With the nearest neighbours (Å) after each atom.
Space group P4/mmm (No. 123)
Unique sites:
Ta1 0.0000 0.0000 0.0000 (multiplicity 1)  2 P 2.37
Zn1 0.5000 0.5000 0.0000 (multiplicity 1)  8 Se 3.40, 4 Ta 3.44
P1 0.0000 0.0000 0.5000 (multiplicity 1)  2 Ta 2.37, 4 Se 2.43
Se1 0.0000 0.5000 0.5000 (multiplicity 2)  2 P 2.43

Results
For the size of the total moment, the calculation gives 0.061 μB per atom. Its uncorrected formation energy is 0.802 eV/atom. Its crystal system is tetragonal. As for the calculated total energy: -4.299 eV per atom.


14.
Below is a relaxed structure of Tb5P4Se, with properties calculated at the PBE level.

Lattice parameters (Å, degrees): 4.0370 5.7133 20.2633 90.00 90.00 90.00
With the nearest neighbours (Å) after each atom.
Space group Immm (No. 71)
Unique sites:
Tb1 0.0000 0.0000 0.0000 (multiplicity 2)  4 P 2.85, 2 Se 2.86
Tb2 0.0000 0.0000 0.1993 (multiplicity 4)  6 P 2.85-2.86
Tb3 0.0000 0.0000 0.3926 (multiplicity 4)  4 P 2.77-2.86, 2 Se 2.97
P1 0.0000 0.5000 0.2011 (multiplicity 4)  6 Tb 2.77-2.86
P2 0.0000 0.5000 0.4009 (multiplicity 4)  6 Tb 2.85-2.86
Se1 0.0000 0.5000 0.0000 (multiplicity 2)  6 Tb 2.86-2.97

Results
For the size of the total moment, the calculation gives 0.000 μB per atom. Its uncorrected formation energy is -1.704 eV/atom. Its crystal system is orthorhombic. As for the calculated total energy: -6.531 eV per atom.